No. 1
Material: RbYCuW2
Method: DFT, GGA-PBE
State: relaxed

```
RbYCuW2
1.0
4.7528 0.0000 0.0000
0.0000 5.1851 0.0000
0.0000 0.0000 4.7528
Y Cu Rb W
1 1 1 2
direct
0.0000 0.5000 0.0000 Y
0.5000 0.5000 0.5000 Cu
0.0000 0.0000 0.0000 Rb
0.0000 0.0000 0.5000 W
0.5000 0.0000 0.0000 W
```

Values from the calculation:
Total moment (μB per formula unit): 0.00
Calculated volume (A^3/atom): 23.43
Energy of formation (kJ per mole of atoms): 309.21

No. 2
Material: Pm2YGa
Method: DFT, GGA-PBE
State: relaxed

```
Pm2YGa
1.0
3.6097 0.0000 0.0000
0.0000 3.6097 0.0000
0.0000 0.0000 9.0237
Y Ga Pm
1 1 2
direct
0.5000 0.5000 0.5000 Y
0.5000 0.5000 0.0000 Ga
0.0000 0.0000 0.7907 Pm
0.0000 0.0000 0.2093 Pm
```

Values from the calculation:
Excess energy over the best structure of this formula in the dataset (eV/atom): 0.025
Total moment (μB per formula unit): 0.00
Calculated volume (A^3/atom): 29.39
Energy of formation (kJ per mole of atoms): -23.54

No. 3
Material: Ta3Nb2
Method: DFT, GGA-PBE
State: relaxed

```
Ta3Nb2
1.0
-1.8784 -2.6335 -0.7015
0.7209 0.3415 -3.2124
7.1812 -3.8176 2.9110
Ta Nb
3 2
direct
0.0000 0.0000 0.0000 Ta
0.1997 0.1997 0.3994 Ta
0.8003 0.8003 0.6006 Ta
0.4000 0.4000 0.8000 Nb
0.6000 0.6000 0.2000 Nb
```

Values from the calculation:
Total moment (μB per formula unit): 0.00
Calculated volume (A^3/atom): 18.22
Energy of formation (kJ per mole of atoms): -1.17